1.
First-principles (PBE) data for a relaxed structure of Cr4NiIr, as listed in the Alexandria database.

Energy of formation (kJ/mol of formula units): 25
Total DFT energy (no corrections) (eV for the cell shown): -52.88

Cell lengths 4.685, 4.685, 4.685 Å; angles 60.00, 60.00, 60.00 degrees
Positions (direct):
1 Cr 0.378 0.378 0.378
2 Cr 0.378 0.378 0.866
3 Cr 0.378 0.866 0.378
4 Cr 0.866 0.378 0.378
5 Ni 0.750 0.750 0.750
6 Ir 0.000 0.000 0.000

=====

2.
First-principles (PBE) data for a relaxed structure of TbY2Er2Sc2, as listed in the Alexandria database.

Energy of formation (kJ/mol of formula units): 74
Total DFT energy (no corrections) (eV for the cell shown): -38.58

Cell lengths 5.871, 5.871, 11.536 Å; angles 108.22, 108.22, 33.84 degrees
Positions (direct):
1 Tb 0.000 0.000 0.000
2 Y 0.330 0.330 0.413
3 Y 0.670 0.670 0.587
4 Er 0.452 0.452 0.733
5 Er 0.548 0.548 0.267
6 Sc 0.227 0.227 0.866
7 Sc 0.773 0.773 0.134

=====

Which of these has the highest energy of formation?
TbY2Er2Sc2

=====

Please write out number 1 again, unchanged.
First-principles (PBE) data for a relaxed structure of Cr4NiIr, as listed in the Alexandria database.

Energy of formation (kJ/mol of formula units): 25
Total DFT energy (no corrections) (eV for the cell shown): -52.88

Cell lengths 4.685, 4.685, 4.685 Å; angles 60.00, 60.00, 60.00 degrees
Positions (direct):
1 Cr 0.378 0.378 0.378
2 Cr 0.378 0.378 0.866
3 Cr 0.378 0.866 0.378
4 Cr 0.866 0.378 0.378
5 Ni 0.750 0.750 0.750
6 Ir 0.000 0.000 0.000

=====

Which formula does entry 1 have?
Cr4NiIr